No. 1
{
  "formula": "CrCdF2",
  "functional": "SCAN",
  "state": "single point on PBEsol structure",
  "dft_energy_ry_per_atom": -1.1139,
  "e_form_raw_ev_per_atom": -1.19,
  "cell": [[4.2720, 0.0000, 0.0000], [2.1360, 3.6997, 0.0000], [2.1360, 1.2332, 3.4881]],
  "species": ["Cr", "F", "F", "Cd"],
  "fractional_positions": [[0.0000, 0.0000, 0.0000], [0.2500, 0.2500, 0.2500], [0.7500, 0.7500, 0.7500], [0.5000, 0.5000, 0.5000]]
}

***

No. 2
{
  "formula": "SnGeSb2I",
  "functional": "SCAN",
  "state": "single point on PBEsol structure",
  "dft_energy_ry_per_atom": -2.3446,
  "e_form_raw_ev_per_atom": 1.35,
  "cell": [[5.6443, 0.0000, 0.0000], [0.0000, 5.7224, 0.0000], [0.0000, 0.0000, 5.7224]],
  "species": ["I", "Sb", "Sb", "Ge", "Sn"],
  "fractional_positions": [[0.0000, 0.0000, 0.0000], [0.0000, 0.0000, 0.5000], [0.0000, 0.5000, 0.0000], [0.5000, 0.5000, 0.5000], [0.5000, 0.0000, 0.0000]]
}

***

No. 3
{
  "formula": "Al4Ag",
  "functional": "SCAN",
  "state": "single point on PBEsol structure",
  "dft_energy_ry_per_atom": -0.9185,
  "formation_energy_ev_per_atom": -0.0222,
  "de_polymorph_mev_per_atom": 8.7,
  "cell": [[-2.4811, 1.0743, -1.0333], [-3.5751, -2.8182, 1.6003], [-2.3832, 3.1937, 4.9887]],
  "species": ["Al", "Al", "Al", "Al", "Ag"],
  "fractional_positions": [[0.4018, 0.7954, 0.4011], [0.7960, 0.6077, 0.8003], [0.2040, 0.3923, 0.1997], [0.5982, 0.2046, 0.5989], [0.0000, 0.0000, 0.0000]]
}

***

No. 4
{
  "formula": "ZrMnCrPt2",
  "functional": "SCAN",
  "state": "single point on PBEsol structure",
  "dft_energy_ry_per_atom": -2.9895,
  "formation_energy_ev_per_atom": 0.8707,
  "cell": [[-0.8189, -3.9341, 2.0864], [4.7220, -0.4345, 1.0339], [-0.6981, 2.3629, 4.1815]],
  "species": ["Cr", "Mn", "Zr", "Pt", "Pt"],
  "fractional_positions": [[0.5000, 0.5000, 0.5000], [0.5000, 0.0000, 0.0000], [0.0000, 0.0000, 0.0000], [0.0000, 0.0000, 0.5000], [0.0000, 0.5000, 0.0000]]
}

***

No. 5
{
  "formula": "SmSbO4",
  "functional": "SCAN",
  "state": "single point on PBEsol structure",
  "dft_energy_ry_per_atom": -1.4975,
  "e_form_raw_ev_per_atom": -2.60,
  "cell": [[5.4308, 0.0000, 0.0000], [0.0000, 7.5883, 0.0266], [0.0000, -1.2485, 7.5179]],
  "species": ["Sm", "Sm", "Sm", "Sm", "Sb", "Sb", "Sb", "Sb", "O", "O", "O", "O", "O", "O", "O", "O", "O", "O", "O", "O", "O", "O", "O", "O"],
  "fractional_positions": [[0.7260, 0.1046, 0.8549], [0.2260, 0.3954, 0.1451], [0.2740, 0.8954, 0.1451], [0.7740, 0.6046, 0.8549], [0.2298, 0.3051, 0.6628], [0.7298, 0.1949, 0.3372], [0.7702, 0.6949, 0.3372], [0.2702, 0.8051, 0.6628], [0.0184, 0.3283, 0.8825], [0.5184, 0.1717, 0.1175], [0.9816, 0.6717, 0.1175], [0.4816, 0.8283, 0.8825], [0.3729, 0.0597, 0.6686], [0.8729, 0.4403, 0.3314], [0.6271, 0.9403, 0.3314], [0.1271, 0.5597, 0.6686], [0.0012, 0.8752, 0.8299], [0.5012, 0.6248, 0.1701], [0.9988, 0.1248, 0.1701], [0.4988, 0.3752, 0.8299], [0.0939, 0.8052, 0.4341], [0.5939, 0.6948, 0.5659], [0.9061, 0.1948, 0.5659], [0.4061, 0.3052, 0.4341]]
}

***

No. 6
{
  "formula": "LaYMn2Pd",
  "functional": "SCAN",
  "state": "single point on PBEsol structure",
  "dft_energy_ry_per_atom": -2.0584,
  "formation_energy_ev_per_atom": 0.0399,
  "cell": [[4.9966, 0.0000, 0.0000], [0.0000, 4.9966, 0.0000], [0.0000, 0.0000, 5.1684]],
  "species": ["Y", "Mn", "Mn", "Pd", "La"],
  "fractional_positions": [[0.5000, 0.5000, 0.5000], [0.0000, 0.5000, 0.0000], [0.5000, 0.0000, 0.0000], [0.0000, 0.0000, 0.0000], [0.0000, 0.0000, 0.5000]]
}